Density functional theory data (PBE) for an optimized crystal structure of Tb5SbRh2. Values from VASP.

Structure (Quantum ESPRESSO input):
```
&SYSTEM
  ibrav = 0, nat = 16, ntyp = 3
/
ATOMIC_SPECIES
Tb 158.93 Tb.upf
Rh 102.91 Rh.upf
Sb 121.76 Sb.upf
ATOMIC_POSITIONS angstrom
Tb -5.675 -0.866 6.348
Tb -1.275 1.196 2.996
Tb 3.781 -2.276 3.562
Tb -4.478 2.916 5.048
Tb 0.578 -0.557 5.615
Tb -4.520 -0.013 3.191
Tb 4.979 1.506 2.262
Tb 1.776 3.225 4.315
Tb 0.000 0.000 0.000
Tb -2.473 -2.586 4.296
Rh -6.852 1.201 4.689
Rh -2.189 -1.228 1.692
Rh -3.680 2.743 2.265
Rh -5.361 -2.769 4.116
Sb 1.912 0.326 2.710
Sb -2.609 0.313 5.900
CELL_PARAMETERS angstrom
-4.844 5.493 2.755
-4.197 -5.520 3.626
8.344 0.666 2.229
```

Summary:
The crystal system is tetragonal. The density of states at the Fermi level comes out at 13.64 states/eV/cell. As for the formation energy without anion corrections: -0.78 eV per atom.